LiCuHCO4 at its PBEsol-relaxed geometry. Source: the Alexandria database, functional SCAN.

Unit cell a=10.3799 b=10.3799 c=5.8829 alpha=90.00 beta=90.00 gamma=120.00
Space group P6_3/m (No. 176)
Unique sites:
Li 0.1439 0.7864 0.2500 (multiplicity 6)
Cu 0.0000 0.5000 0.0000 (multiplicity 6)
H 0.2068 0.6009 0.2500 (multiplicity 6)
C 0.1834 0.7792 0.7500 (multiplicity 6)
O 0.0796 0.3390 0.7500 (multiplicity 6)
O 0.1206 0.5002 0.2500 (multiplicity 6)
O 0.1453 0.7073 0.5576 (multiplicity 12)

Calculated values
Spin magnetization: 6.0 μB/cell
Calculated volume: 548.9 Å³/cell
VASP energy: -401.85 eV/cell